{"formula": "AcSb3", "functional": "PBE-GGA", "state": "relaxed", "n_ef_per_ev_atom": 0.59, "total_energy_ev_per_atom": -4.521, "vol_a3_per_fu": 142.7, "formation_energy_uncorrected_mev_per_atom": -402, "polymorph_energy_mev_per_atom": 161.3, "cell": [[-1.446, -0.166, -4.433], [4.196, -1.564, -1.310], [-3.398, -5.307, 3.763]], "species": ["Sb", "Sb", "Sb", "Ac"], "fractional_positions": [[0.265, 0.265, 0.529], [0.735, 0.735, 0.471], [0.500, 0.500, 0.000], [0.000, 0.000, 0.000]]}